Record 1
{
  "formula": "Na2Li2Ni",
  "functional": "PBE",
  "state": "relaxed",
  "cell": [[3.608, 0.000, 0.000], [0.000, 3.608, 0.000], [1.804, 1.804, 8.831]],
  "species": ["Ni", "Li", "Li", "Na", "Na"],
  "frac_coords": [[0.000, 0.000, 0.000], [0.750, 0.250, 0.500], [0.250, 0.750, 0.500], [0.410, 0.410, 0.180], [0.590, 0.590, 0.820]],
  "spacegroup": "No. 139",
  "polymorph_energy_kcal_per_mol_atoms": 4.80,
  "e_form_ev_per_atom": 0.48,
  "volume_a3_per_atom": 22.99,
  "density_g_cm3": 1.71
}

Record 2
{
  "formula": "Na2Li2Ni",
  "functional": "PBE",
  "state": "relaxed",
  "cell": [[-5.674, -0.169, 3.177], [-2.166, -4.552, -4.111], [1.802, -3.594, 3.029]],
  "species": ["Ni", "Ni", "Li", "Li", "Li", "Li", "Na", "Na", "Na", "Na"],
  "frac_coords": [[0.000, 0.000, 0.000], [0.500, 0.500, 0.000], [0.346, 0.846, 0.000], [0.846, 0.654, 0.000], [0.654, 0.154, 0.000], [0.154, 0.346, 0.000], [0.187, 0.687, 0.500], [0.687, 0.813, 0.500], [0.813, 0.313, 0.500], [0.313, 0.187, 0.500]],
  "spacegroup": "No. 127",
  "polymorph_energy_kcal_per_mol_atoms": 0.00,
  "e_form_ev_per_atom": 0.27,
  "volume_a3_per_atom": 21.30,
  "density_g_cm3": 1.85
}

Record 3
{
  "formula": "Na3LiNi",
  "functional": "PBE",
  "state": "relaxed",
  "cell": [[-0.072, -5.287, -0.835], [1.859, -0.808, 4.955], [-5.020, -0.223, 1.846]],
  "species": ["Ni", "Li", "Na", "Na", "Na"],
  "frac_coords": [[0.000, 0.000, 0.000], [0.500, 0.500, 0.500], [0.000, 0.500, 0.000], [0.000, 0.000, 0.500], [0.500, 0.000, 0.000]],
  "spacegroup": "No. 221",
  "polymorph_energy_kcal_per_mol_atoms": 0.00,
  "e_form_ev_per_atom": 0.47,
  "volume_a3_per_atom": 30.68,
  "density_g_cm3": 1.46
}